This record from Alexandria via LeMat-Bulk describes an optimized crystal structure of Tm2OsPd. The functional is PBE.

Lattice parameters (Å, degrees): 3.402 3.402 6.838 90.00 90.00 90.00
Element x y z (fractional)
Tm1 0.000 0.000 0.239
Tm2 0.000 0.000 0.761
Os1 0.500 0.500 0.000
Pd1 0.500 0.500 0.500

ΔH_f (0 K)   -0.65 eV/atom
VASP energy   -6.994 eV/atom
Crystal system   tetragonal
Magnetization   0.00 Bohr magnetons per cell
Excess energy over the best structure of this formula in the dataset   0 meV per atom